{"formula": "Dy2Ga4Pd3", "functional": "PBE-GGA", "state": "optimized geometry", "total_magnetization_mub_per_fu": 0.000, "e_tot_ev_per_cell": -87.67, "lattice_angstrom": [[5.748, 0.000, 0.000], [0.000, 7.590, 0.000], [-2.874, 0.000, 7.575]], "species": ["Ga", "Ga", "Ga", "Ga", "Ga", "Ga", "Ga", "Ga", "Pd", "Pd", "Pd", "Pd", "Pd", "Pd", "Dy", "Dy", "Dy", "Dy"], "fractional_positions": [[0.178, 0.979, 0.355], [0.810, 0.250, 0.120], [0.678, 0.521, 0.355], [0.190, 0.750, 0.880], [0.310, 0.250, 0.120], [0.822, 0.021, 0.645], [0.690, 0.750, 0.880], [0.322, 0.479, 0.645], [0.519, 0.750, 0.537], [0.481, 0.250, 0.463], [0.019, 0.750, 0.537], [0.000, 0.000, 0.000], [0.981, 0.250, 0.463], [0.500, 0.500, 0.000], [0.390, 0.091, 0.779], [0.110, 0.591, 0.221], [0.610, 0.909, 0.221], [0.890, 0.409, 0.779]]}